Material: MnInOs2
Method: DFT, PBE
State: relaxed

```
4
Lattice="2.969 0.000 0.000 0.000 4.650 0.000 0.000 0.000 4.529" Properties=species:S:1:pos:R:3 pbc="T T T"
In 1.484 0.000 2.265
Os 1.484 2.325 0.000
Os 0.000 0.000 0.000
Mn 0.000 2.325 2.265
```

## Properties
As for the space group: Pmmm. The density of states at the Fermi level is 1.392 states/eV/atom. The volume is 15.6 A^3/atom.

=====

Material: Mn2InOs
Method: DFT, PBE
State: relaxed

```
4
Lattice="3.685 0.000 0.000 0.000 2.868 -0.005 0.000 2.877 5.645" Properties=species:S:1:pos:R:3 pbc="T T T"
Mn 0.000 2.870 0.203
Mn 0.000 2.871 2.612
Os 1.842 1.436 1.410
In 1.842 4.309 4.230
```

## Properties
As for the space group: Pmmm. The density of states at the Fermi level is 0.726 states/eV/atom. The volume is 14.9 A^3/atom.

=====

Material: Mn2InOs
Method: DFT, PBE
State: relaxed

```
4
Lattice="4.600 -0.459 -0.480 1.577 4.345 0.480 -2.833 -2.348 2.838" Properties=species:S:1:pos:R:3 pbc="T T T"
Os 2.427 -0.432 1.179
In 0.916 1.970 1.659
Mn 0.001 0.000 0.000
Mn 3.088 1.943 0.000
```

## Properties
As for the space group: I4/mmm. The density of states at the Fermi level is 1.036 states/eV/atom. The volume is 15.1 A^3/atom.

=====

no.,total DFT energy (no corrections) (eV per atom),E_form (eV/atom),total moment (μB per atom)
1,-8.05,0.540,0.813
2,-7.84,0.236,1.146
3,-7.75,0.326,1.549